Entry from the Alexandria database: an optimized crystal structure of Cd2TcNi (GGA-PBE).

abc: 5.355 5.355 2.710
angles: 80.23 80.23 116.56
Fractional coordinates of all 4 atoms:
Cd 0.000 0.000 0.000
Cd 0.500 0.500 0.000
Ni 0.500 0.000 0.500
Tc 0.000 0.500 0.500

Properties
total energy: -4.08 eV/atom
energy above the lowest structure with this stoichiometry: 243 meV per atom
energy relative to the elements: 0.414 eV per atom